# 1
VASP calculation (PBE-GGA) on ZrBePt4 after structural relaxation.

Cell and atoms, written as POSCAR:
```
ZrBePt4
1.0
0.000 3.711 3.711
3.711 0.000 3.711
3.711 3.711 0.000
Zr Be Pt
1 1 4
direct
0.750 0.750 0.750
0.000 0.000 0.000
0.876 0.375 0.375
0.375 0.375 0.876
0.375 0.876 0.375
0.375 0.375 0.375
```

Calculated values
Its symmetry is F-43m. As for the formation energy: -2.2 eV per formula unit. The crystal system is cubic. The value obtained for the calculated total energy is -6.442 eV/atom.

=====

# 2
VASP calculation (PBE-GGA) on ZrBePt after structural relaxation.

Cell and atoms, written as POSCAR:
```
ZrBePt
1.0
-3.225 -2.046 -1.576
3.828 -1.466 -0.514
-0.275 -1.680 2.743
Be Zr Pt
1 1 1
direct
0.000 0.000 0.167
0.667 0.333 0.667
0.333 0.667 0.167
```

Calculated values
Its symmetry is P-6m2. As for the formation energy: -2.2 eV per formula unit. The crystal system is hexagonal. The value obtained for the calculated total energy is -6.827 eV/atom.

=====

# 3
VASP calculation (PBE-GGA) on Zr2BePt2 after structural relaxation.

Cell and atoms, written as POSCAR:
```
Zr2BePt2
1.0
-5.723 4.397 0.371
-2.269 -2.411 -6.424
-1.857 -2.552 1.614
Be Zr Pt
2 4 4
direct
0.000 0.000 0.000
0.500 0.500 0.000
0.172 0.672 0.500
0.672 0.828 0.500
0.828 0.328 0.500
0.328 0.172 0.500
0.364 0.864 0.000
0.864 0.636 0.000
0.636 0.136 0.000
0.136 0.364 0.000
```

Calculated values
Its symmetry is P4/mbm. As for the formation energy: -3.2 eV per formula unit. The crystal system is tetragonal. The value obtained for the calculated total energy is -7.221 eV/atom.

=====

- Look up the calculated total energy of the second one.
  -6.827 eV/atom

=====

- What is the formula in the third record?
  Zr2BePt2

=====

- Among the records above, which one has the lowest calculated total energy?
  Zr2BePt2